Record 1
## KBaCr2 (PBE)

Data for crystalline KBaCr2 at its relaxed geometry.

Cell lengths 7.3893, 7.3893, 7.3893 Å; angles 102.25, 102.25, 125.15 degrees
With the nearest neighbours (Å) after each atom.
Fractional positions:
K 0.0000 0.0000 0.0000  4 Cr 3.37, 2 Ba 3.40
K 0.7500 0.2500 0.5000  4 Cr 3.37, 2 Ba 3.40
Ba 0.2500 0.7500 0.5000  2 K 3.40, 4 Cr 3.40
Ba 0.5000 0.5000 0.0000  2 K 3.40, 4 Cr 3.40
Cr 0.1224 0.6250 0.9974  2 K 3.37, 2 Cr 3.40, 2 Ba 3.40
Cr 0.3750 0.3724 0.4974  2 K 3.37, 2 Cr 3.40, 2 Ba 3.40
Cr 0.6276 0.1250 0.0026  2 K 3.37, 2 Cr 3.40, 2 Ba 3.40
Cr 0.8750 0.8776 0.5026  2 K 3.37, 2 Cr 3.40, 2 Ba 3.40

Results
As for the offset from the most stable computed form: 517 meV per atom. The calculation puts the formation energy at 1.22 eV per atom.

Record 2
## SiAgBr2 (PBE)

Data for crystalline SiAgBr2 at its relaxed geometry.

Cell lengths 5.3307, 3.6057, 6.6024 Å; angles 90.00, 113.20, 90.00 degrees
With the nearest neighbours (Å) after each atom.
Fractional positions:
Si 0.0000 0.0000 0.0000  1 Br 2.33, 2 Ag 2.50
Ag 0.6574 0.5000 0.9586  2 Si 2.50
Br 0.1579 0.0000 0.7178  1 Si 2.33
Br 0.3969 0.5000 0.2550  2 Si 2.78, 1 Ag 2.81

Results
As for the offset from the most stable computed form: 0 meV per atom. The calculation puts the uncorrected formation energy at -0.4 eV/f.u.

Record 3
## Na3Ag2Cl4 (PBE)

Data for crystalline Na3Ag2Cl4 at its relaxed geometry.

Cell lengths 8.3741, 8.3741, 6.7202 Å; angles 90.21, 90.21, 74.91 degrees
With the nearest neighbours (Å) after each atom.
Fractional positions:
Na 0.1485 0.8515 0.7500  4 Cl 2.81-2.83
Na 0.2507 0.4876 0.1023  5 Cl 2.81-2.95
Na 0.4876 0.2507 0.6023  5 Cl 2.81-2.95
Na 0.5124 0.7493 0.3977  5 Cl 2.81-2.95
Na 0.7493 0.5124 0.8977  5 Cl 2.81-2.95
Na 0.8515 0.1485 0.2500  4 Cl 2.81-2.83
Ag 0.0605 0.3474 0.5856  3 Cl 2.68-2.84, 1 Ag 2.75
Ag 0.3474 0.0605 0.0856  3 Cl 2.68-2.84, 1 Ag 2.75
Ag 0.6526 0.9395 0.9144  3 Cl 2.68-2.84, 1 Ag 2.75
Ag 0.9395 0.6526 0.4144  3 Cl 2.68-2.84, 1 Ag 2.75
Cl 0.0540 0.2580 0.9790  2 Ag 2.68-2.75, 3 Na 2.81-2.95
Cl 0.2580 0.0540 0.4790  2 Ag 2.68-2.75, 3 Na 2.81-2.95
Cl 0.2827 0.5732 0.5069  4 Na 2.81-2.87, 2 Ag 2.84-3.03
Cl 0.4268 0.7173 0.9931  4 Na 2.81-2.87, 2 Ag 2.84-3.03
Cl 0.5732 0.2827 0.0069  4 Na 2.81-2.87, 2 Ag 2.84-3.03
Cl 0.7173 0.4268 0.4931  4 Na 2.81-2.87, 2 Ag 2.84-3.03
Cl 0.7420 0.9460 0.5210  2 Ag 2.68-2.75, 3 Na 2.81-2.95
Cl 0.9460 0.7420 0.0210  2 Ag 2.68-2.75, 3 Na 2.81-2.95

Results
The calculation puts the uncorrected formation energy at -9.2 eV/f.u.